[1]
VASP calculation (PBE) on a relaxed Eu2PuMg crystal.

Cell: 5.7194 5.7194 5.7194 Å, 60.00 60.00 60.00°
Last column: nearest neighbours and their distance in Å.
Atoms (fractional coordinates):
Eu 0.7500 0.7500 0.7500  4 Pu 3.50, 4 Mg 3.50
Eu 0.2500 0.2500 0.2500  4 Pu 3.50, 4 Mg 3.50
Pu 0.0000 0.0000 0.0000  8 Eu 3.50
Mg 0.5000 0.5000 0.5000  8 Eu 3.50

Computed properties:
- calculated density (kg/m3) = 7183
- DOS at the Fermi energy (states/eV/atom) = 4.0901
- excess energy over the best structure of this formula in the dataset (eV/f.u.) = 0.31
- ΔE_f (eV/atom) = 0.206

---

[2]
VASP calculation (PBE) on a relaxed Eu2PuMg crystal.

Cell: 3.6592 5.9090 5.9090 Å, 90.00 90.00 90.00°
Last column: nearest neighbours and their distance in Å.
Atoms (fractional coordinates):
Eu 0.0000 0.0000 0.5000  4 Mg 3.48, 4 Pu 3.48, 2 Eu 3.66
Eu 0.0000 0.5000 0.0000  4 Mg 3.48, 4 Pu 3.48, 2 Eu 3.66
Mg 0.5000 0.5000 0.5000  8 Eu 3.48, 2 Mg 3.66
Pu 0.5000 0.0000 0.0000  8 Eu 3.48, 2 Pu 3.66

Computed properties:
- calculated density (kg/m3) = 7437
- DOS at the Fermi energy (states/eV/atom) = 5.5213
- excess energy over the best structure of this formula in the dataset (eV/f.u.) = 0.42
- ΔE_f (eV/atom) = 0.234

---

[3]
VASP calculation (PBE) on a relaxed SmEuPuMg crystal.

Cell: 5.6055 5.6055 5.6055 Å, 60.00 60.00 60.00°
Last column: nearest neighbours and their distance in Å.
Atoms (fractional coordinates):
Pu 0.2500 0.2500 0.2500  4 Sm 3.43, 4 Eu 3.43
Sm 0.0000 0.0000 0.0000  4 Mg 3.43, 4 Pu 3.43
Mg 0.7500 0.7500 0.7500  4 Eu 3.43, 4 Sm 3.43
Eu 0.5000 0.5000 0.5000  4 Pu 3.43, 4 Mg 3.43

Computed properties:
- calculated density (kg/m3) = 7608
- DOS at the Fermi energy (states/eV/atom) = 3.6176
- ΔE_f (eV/atom) = 0.193

---

[4]
VASP calculation (PBE) on a relaxed EuPuMgTl crystal.

Cell: 5.5220 5.5220 5.5220 Å, 60.00 60.00 60.00°
Last column: nearest neighbours and their distance in Å.
Atoms (fractional coordinates):
Eu 0.2500 0.2500 0.2500  4 Tl 3.38, 4 Mg 3.38
Tl 0.0000 0.0000 0.0000  4 Eu 3.38, 4 Pu 3.38
Mg 0.5000 0.5000 0.5000  4 Pu 3.38, 4 Eu 3.38
Pu 0.7500 0.7500 0.7500  4 Mg 3.38, 4 Tl 3.38

Computed properties:
- calculated density (kg/m3) = 8712
- DOS at the Fermi energy (states/eV/atom) = 5.1736
- ΔE_f (eV/atom) = -0.014

---

[5]
VASP calculation (PBE) on a relaxed EuTmPuMg crystal.

Cell: 5.5276 5.5276 5.5276 Å, 60.00 60.00 60.00°
Last column: nearest neighbours and their distance in Å.
Atoms (fractional coordinates):
Pu 0.5000 0.5000 0.5000  4 Tm 3.38, 4 Eu 3.38
Eu 0.2500 0.2500 0.2500  4 Mg 3.38, 4 Pu 3.38
Mg 0.0000 0.0000 0.0000  4 Eu 3.38, 4 Tm 3.38
Tm 0.7500 0.7500 0.7500  4 Pu 3.38, 4 Mg 3.38

Computed properties:
- calculated density (kg/m3) = 8193
- DOS at the Fermi energy (states/eV/atom) = 3.8098
- ΔE_f (eV/atom) = 0.237

---

[6]
VASP calculation (PBE) on a relaxed EuPuMgZn crystal.

Cell: 5.3437 5.3437 5.3437 Å, 60.00 60.00 60.00°
Last column: nearest neighbours and their distance in Å.
Atoms (fractional coordinates):
Zn 0.0000 0.0000 0.0000  4 Pu 3.27, 4 Eu 3.27
Eu 0.2500 0.2500 0.2500  4 Mg 3.27, 4 Zn 3.27
Pu 0.7500 0.7500 0.7500  4 Mg 3.27, 4 Zn 3.27
Mg 0.5000 0.5000 0.5000  4 Pu 3.27, 4 Eu 3.27

Computed properties:
- calculated density (kg/m3) = 7475
- DOS at the Fermi energy (states/eV/atom) = 3.1892
- ΔE_f (eV/atom) = 0.063

---

[7]
VASP calculation (PBE) on a relaxed Eu3MgRh crystal.

Cell: 5.6033 5.6033 5.6033 Å, 90.00 90.00 90.00°
Last column: nearest neighbours and their distance in Å.
Atoms (fractional coordinates):
Mg 0.5000 0.5000 0.5000  12 Eu 3.96
Eu 0.0000 0.0000 0.5000  2 Rh 2.80
Eu 0.5000 0.0000 0.0000  2 Rh 2.80
Eu 0.0000 0.5000 0.0000  2 Rh 2.80
Rh 0.0000 0.0000 0.0000  6 Eu 2.80

Computed properties:
- calculated density (kg/m3) = 5504
- DOS at the Fermi energy (states/eV/atom) = 4.1368
- ΔE_f (eV/atom) = -0.184

---

[8]
VASP calculation (PBE) on a relaxed EuMg2Rh crystal.

Cell: 3.2715 3.2715 8.2304 Å, 90.00 90.00 90.00°
Last column: nearest neighbours and their distance in Å.
Atoms (fractional coordinates):
Mg 0.0000 0.0000 0.1749  4 Rh 2.72, 1 Mg 2.88
Mg 0.0000 0.0000 0.8251  4 Rh 2.72, 1 Mg 2.88
Rh 0.5000 0.5000 0.0000  8 Mg 2.72
Eu 0.5000 0.5000 0.5000  4 Eu 3.27, 8 Mg 3.54

Computed properties:
- calculated density (kg/m3) = 5721
- DOS at the Fermi energy (states/eV/atom) = 0.5483
- ΔE_f (eV/atom) = -0.266

---

[9]
VASP calculation (PBE) on a relaxed EuMgRh crystal.

Cell: 3.8262 4.5677 4.5677 Å, 120.00 90.00 90.00°
Last column: nearest neighbours and their distance in Å.
Atoms (fractional coordinates):
Mg 0.1664 0.3333 0.6667  3 Rh 2.64
Rh 0.1670 0.0000 0.0000  3 Mg 2.64
Eu 0.6665 0.6667 0.3333  6 Rh 3.26, 6 Mg 3.26

Computed properties:
- calculated density (kg/m3) = 6706
- DOS at the Fermi energy (states/eV/atom) = 3.6726
- ΔE_f (eV/atom) = -0.266

---

[10]
VASP calculation (PBE) on a relaxed EuMgRh crystal.

Cell: 3.3756 3.3756 6.3586 Å, 105.39 105.39 90.00°
Last column: nearest neighbours and their distance in Å.
Atoms (fractional coordinates):
Eu 0.0223 0.0223 0.0446  4 Rh 3.06, 1 Mg 3.20, 4 Eu 3.38
Rh 0.6842 0.6842 0.3684  4 Mg 2.71
Mg 0.2935 0.2935 0.5870  4 Rh 2.71

Computed properties:
- calculated density (kg/m3) = 6903
- DOS at the Fermi energy (states/eV/atom) = 2.6763
- ΔE_f (eV/atom) = -0.315

---

[11]
VASP calculation (PBE) on a relaxed EuMg2Rh crystal.

Cell: 4.9225 4.9225 4.9214 Å, 59.99 59.99 60.00°
Last column: nearest neighbours and their distance in Å.
Atoms (fractional coordinates):
Mg 0.2501 0.2501 0.2498  4 Rh 3.01, 4 Eu 3.01
Mg 0.7499 0.7499 0.7502  4 Rh 3.01, 4 Eu 3.01
Eu 0.0000 0.0000 0.0000  8 Mg 3.01
Rh 0.5000 0.5000 0.5000  8 Mg 3.01

Computed properties:
- calculated density (kg/m3) = 5977
- DOS at the Fermi energy (states/eV/atom) = 1.6415
- ΔE_f (eV/atom) = -0.109

---

[12]
VASP calculation (PBE) on a relaxed EuMg2Rh crystal.

Cell: 4.3097 5.7020 8.1122 Å, 90.00 90.00 112.24°
Last column: nearest neighbours and their distance in Å.
Atoms (fractional coordinates):
Eu 0.5562 0.1132 0.2500  3 Rh 3.01-3.13, 2 Mg 3.36
Eu 0.4438 0.8868 0.7500  3 Rh 3.01-3.13, 2 Mg 3.36
Mg 0.1604 0.3207 0.9405  3 Rh 2.75-2.77, 2 Mg 3.03
Mg 0.8396 0.6793 0.4405  3 Rh 2.75-2.77, 2 Mg 3.03
Mg 0.8396 0.6793 0.0595  3 Rh 2.75-2.77, 2 Mg 3.03
Mg 0.1604 0.3207 0.5595  3 Rh 2.75-2.77, 2 Mg 3.03
Rh 0.2718 0.5423 0.2500  6 Mg 2.75-2.77, 1 Eu 3.01
Rh 0.7282 0.4577 0.7500  6 Mg 2.75-2.77, 1 Eu 3.01

Computed properties:
- calculated density (kg/m3) = 5462
- DOS at the Fermi energy (states/eV/atom) = 0.5834
- ΔE_f (eV/atom) = -0.398

---

[13]
VASP calculation (PBE) on a relaxed SmEuMgRh crystal.

Cell: 5.1866 5.1866 5.1866 Å, 60.00 60.00 60.00°
Last column: nearest neighbours and their distance in Å.
Atoms (fractional coordinates):
Sm 0.7500 0.7500 0.7500  4 Rh 3.18, 4 Mg 3.18
Mg 0.0000 0.0000 0.0000  4 Sm 3.18, 4 Eu 3.18
Rh 0.5000 0.5000 0.5000  4 Eu 3.18, 4 Sm 3.18
Eu 0.2500 0.2500 0.2500  4 Mg 3.18, 4 Rh 3.18

Computed properties:
- calculated density (kg/m3) = 7230
- DOS at the Fermi energy (states/eV/atom) = 1.2862
- ΔE_f (eV/atom) = -0.238

---

[14]
VASP calculation (PBE) on a relaxed TbEuMgRh crystal.

Cell: 5.1449 5.1449 5.1449 Å, 60.00 60.00 60.00°
Last column: nearest neighbours and their distance in Å.
Atoms (fractional coordinates):
Eu 0.2500 0.2500 0.2500  4 Mg 3.15, 4 Rh 3.15
Mg 0.0000 0.0000 0.0000  4 Tb 3.15, 4 Eu 3.15
Rh 0.5000 0.5000 0.5000  4 Eu 3.15, 4 Tb 3.15
Tb 0.7500 0.7500 0.7500  4 Mg 3.15, 4 Rh 3.15

Computed properties:
- calculated density (kg/m3) = 7555
- DOS at the Fermi energy (states/eV/atom) = 1.3127
- ΔE_f (eV/atom) = -0.253

---

[15]
VASP calculation (PBE) on a relaxed EuMgTlRh crystal.

Cell: 5.0339 5.0339 5.0339 Å, 60.00 60.00 60.00°
Last column: nearest neighbours and their distance in Å.
Atoms (fractional coordinates):
Tl 0.7500 0.7500 0.7500  4 Mg 3.08, 4 Eu 3.08
Eu 0.5000 0.5000 0.5000  4 Tl 3.08, 4 Rh 3.08
Rh 0.2500 0.2500 0.2500  4 Mg 3.08, 4 Eu 3.08
Mg 0.0000 0.0000 0.0000  4 Tl 3.08, 4 Rh 3.08

Computed properties:
- calculated density (kg/m3) = 8902
- DOS at the Fermi energy (states/eV/atom) = 2.1025
- ΔE_f (eV/atom) = -0.182